Below is crystalline SrPrCdSb at its relaxed geometry, with properties calculated at the PBE level.

Cell lengths 5.5888, 5.5888, 5.5888 Å; angles 60.00, 60.00, 60.00 degrees
Last column: nearest neighbours and their distance in Å.
Fractional positions:
Cd 0.0000 0.0000 0.0000  4 Sr 3.42, 4 Pr 3.42
Pr 0.2500 0.2500 0.2500  4 Cd 3.42, 4 Sb 3.42
Sr 0.7500 0.7500 0.7500  4 Cd 3.42, 4 Sb 3.42
Sb 0.5000 0.5000 0.5000  4 Pr 3.42, 4 Sr 3.42

Summary:
mass density	6.225	g/cm3
energy relative to the elements, uncorrected	-0.5526	eV/atom
total magnetic moment	0.00	μB per cell
Fermi-level density of states	1.18	states/eV per atom

***

Below is crystalline CsLaCo3 at its relaxed geometry, with properties calculated at the PBE level.

Cell lengths 4.9473, 4.9473, 4.9473 Å; angles 90.00, 90.00, 90.00 degrees
Last column: nearest neighbours and their distance in Å.
Fractional positions:
Co 0.0000 0.0000 0.5000  2 La 2.47
Cs 0.5000 0.5000 0.5000  12 Co 3.50
La 0.0000 0.0000 0.0000  6 Co 2.47
Co 0.5000 0.0000 0.0000  2 La 2.47
Co 0.0000 0.5000 0.0000  2 La 2.47

Summary:
mass density	6.152	g/cm3
polymorph energy (0 for the lowest one)	0.0	meV per atom
energy of formation	1524	meV per atom
total magnetic moment	1.11	μB per cell
Fermi-level density of states	0.34	states/eV per atom

***

Below is crystalline Ce2Zn3Au at its relaxed geometry, with properties calculated at the PBE level.

Cell lengths 5.7287, 5.7287, 9.3490 Å; angles 114.01, 114.01, 70.85 degrees
Last column: nearest neighbours and their distance in Å.
Fractional positions:
Zn 0.1605 0.1605 0.8369  2 Zn 2.61-2.64, 1 Au 2.79
Ce 0.7272 0.2728 0.0000  1 Ce 3.02, 2 Au 3.12, 10 Zn 3.13-3.19
Au 0.6686 0.6686 0.3372  3 Zn 2.74-2.79
Zn 0.1621 0.1621 0.3242  2 Zn 2.61, 1 Au 2.74
Ce 0.2728 0.7272 0.0000  1 Ce 3.02, 2 Au 3.12, 10 Zn 3.13-3.19
Zn 0.8395 0.8395 0.1631  2 Zn 2.61-2.64, 1 Au 2.79
Zn 0.8379 0.8379 0.6758  2 Zn 2.61, 1 Au 2.74
Ce 0.2500 0.7500 0.5000  4 Au 3.15, 8 Zn 3.19-3.20, 2 Ce 3.32
Au 0.3314 0.3314 0.6628  3 Zn 2.74-2.79
Zn 0.3236 0.3236 0.1631  2 Zn 2.61-2.64, 1 Au 2.79
Zn 0.6764 0.6764 0.8369  2 Zn 2.61-2.64, 1 Au 2.79
Ce 0.7500 0.2500 0.5000  4 Au 3.15, 8 Zn 3.19-3.20, 2 Ce 3.32

Summary:
mass density	8.906	g/cm3
polymorph energy (0 for the lowest one)	0.0	meV per atom
energy of formation	-429	meV per atom
total magnetic moment	3.17	μB per cell
Fermi-level density of states	1.78	states/eV per atom

***

Below is crystalline Pr2HoErP4 at its relaxed geometry, with properties calculated at the PBE level.

Cell lengths 4.0948, 7.0889, 7.0824 Å; angles 109.48, 90.00, 90.00 degrees
Last column: nearest neighbours and their distance in Å.
Fractional positions:
Er 0.5000 0.5000 0.0000  6 P 2.84
P 0.5000 0.2461 0.2366  1 Er 2.84, 2 Ho 2.84, 3 Pr 2.95
Ho 0.0000 0.0000 0.0000  6 P 2.84
Pr 0.5000 0.0000 0.5000  6 P 2.95
Pr 0.0000 0.5000 0.5000  6 P 2.94-2.95
P 0.0000 0.2551 0.7638  2 Er 2.84, 1 Ho 2.84, 3 Pr 2.94-2.95
P 0.0000 0.7449 0.2362  2 Er 2.84, 1 Ho 2.84, 3 Pr 2.94-2.95
P 0.5000 0.7539 0.7634  1 Er 2.84, 2 Ho 2.84, 3 Pr 2.95

Summary:
mass density	6.322	g/cm3
energy of formation	-1551	meV per atom
total magnetic moment	0.00	μB per cell
Fermi-level density of states	0.10	states/eV per atom